Run w
Cd6Pb: optimized geometry, PBE-GGA.

Calculated values
N(E_F), states/eV/cell: 1.7

Unit cell a=6.7985 b=6.7985 c=6.7985 alpha=109.47 beta=109.47 gamma=109.47
Positions (direct):
Cd 0.2500 0.7500 0.5000
Cd 0.5000 0.7500 0.2500
Cd 0.2500 0.5000 0.7500
Cd 0.7500 0.2500 0.5000
Cd 0.5000 0.2500 0.7500
Cd 0.7500 0.5000 0.2500
Pb 0.0000 0.0000 0.0000



Run x
Cd6Pb: optimized geometry, PBE-GGA.

Calculated values
N(E_F), states/eV/cell: 9.3

Unit cell a=5.9910 b=9.4585 c=12.1704 alpha=90.00 beta=90.00 gamma=90.00
Positions (direct):
Cd 0.7500 0.6221 0.0218
Cd 0.2500 0.3779 0.9782
Cd 0.7500 0.1221 0.4782
Cd 0.2500 0.8779 0.5218
Cd 0.0082 0.4442 0.1857
Cd 0.5082 0.5558 0.8143
Cd 0.4918 0.9442 0.3143
Cd 0.9918 0.0558 0.6857
Cd 0.9918 0.5558 0.8143
Cd 0.4918 0.4442 0.1857
Cd 0.5082 0.0558 0.6857
Cd 0.0082 0.9442 0.3143
Cd 0.2500 0.1372 0.1473
Cd 0.7500 0.8628 0.8527
Cd 0.2500 0.6372 0.3527
Cd 0.7500 0.3628 0.6473
Cd 0.2500 0.8057 0.7686
Cd 0.7500 0.1943 0.2314
Cd 0.2500 0.3057 0.7314
Cd 0.7500 0.6943 0.2686
Cd 0.2500 0.5529 0.5817
Cd 0.7500 0.4471 0.4183
Cd 0.2500 0.0529 0.9183
Cd 0.7500 0.9471 0.0817
Pb 0.7500 0.2386 0.9126
Pb 0.2500 0.7614 0.0874
Pb 0.7500 0.7386 0.5874
Pb 0.2500 0.2614 0.4126



Run y
Cd6Pb: optimized geometry, PBE-GGA.

Calculated values
N(E_F), states/eV/cell: 7.7

Unit cell a=6.9435 b=6.9435 c=6.9435 alpha=90.00 beta=90.00 gamma=90.00
Positions (direct):
Cd 0.1951 0.5000 0.5000
Cd 0.5000 0.5000 0.8049
Cd 0.5000 0.5000 0.1951
Cd 0.5000 0.1951 0.5000
Cd 0.5000 0.8049 0.5000
Cd 0.8049 0.5000 0.5000
Pb 0.0000 0.0000 0.0000



Which one is most stable, and which one is least stable? run x is the most stable of them, while run y is the least stable.



Run w
CdPd4Pb: optimized geometry, PBE-GGA.

Calculated values
N(E_F), states/eV/cell: 1.5

Unit cell a=3.9457 b=5.0302 c=6.6031 alpha=104.11 beta=72.62 gamma=66.91
Positions (direct):
Cd 0.0000 0.0000 0.0000
Pd 0.8308 0.5013 0.8371
Pd 0.3369 0.9976 0.3285
Pd 0.1692 0.4987 0.1629
Pd 0.6631 0.0024 0.6715
Pb 0.5000 0.5000 0.5000



Run x
CdPd4Pb: optimized geometry, PBE-GGA.

Calculated values
N(E_F), states/eV/cell: 3.3

Unit cell a=5.4041 b=5.4041 c=5.4041 alpha=60.00 beta=60.00 gamma=60.00
Positions (direct):
Pb 0.2500 0.2500 0.2500
Pd 0.6252 0.6252 0.1245
Pd 0.6252 0.1245 0.6252
Pd 0.6252 0.6252 0.6252
Pd 0.1245 0.6252 0.6252
Cd 0.0000 0.0000 0.0000



Which one is most stable, and which one is least stable? run w is the most stable of them, while run x is the least stable.



Run w
CdPdPb: optimized geometry, PBE-GGA.

Calculated values
N(E_F), states/eV/cell: 1.2

Unit cell a=3.4017 b=4.7702 c=4.7702 alpha=120.00 beta=90.00 gamma=90.00
Positions (direct):
Pb 0.6642 0.6667 0.3333
Pd 0.1756 0.3333 0.6667
Cd 0.1602 0.0000 0.0000



Run x
CdPdPb: optimized geometry, PBE-GGA.

Calculated values
N(E_F), states/eV/cell: 2.5

Unit cell a=3.7950 b=5.8487 c=6.9631 alpha=114.37 beta=105.81 gamma=90.00
Positions (direct):
Cd 0.7230 0.3389 0.0752
Cd 0.7214 0.8507 0.0720
Pd 0.0992 0.4709 0.8276
Pd 0.3452 0.7186 0.3197
Pb 0.0230 0.8956 0.6752
Pb 0.4215 0.2940 0.4721



Which one is most stable, and which one is least stable? run x is the most stable of them, while run w is the least stable.



Run w
CdPdRhPb: optimized geometry, PBE-GGA.

Calculated values
N(E_F), states/eV/cell: 2.1

Unit cell a=4.4372 b=4.4371 c=4.8833 alpha=117.02 beta=117.02 gamma=90.00
Positions (direct):
Cd 0.0000 0.0000 0.0000
Pd 0.7500 0.2500 0.5000
Rh 0.2500 0.7500 0.5000
Pb 0.5000 0.5000 0.0000



Run x
CdPdRhPb: optimized geometry, PBE-GGA.

Calculated values
N(E_F), states/eV/cell: 5.3

Unit cell a=4.7035 b=4.7035 c=4.7035 alpha=60.00 beta=60.00 gamma=60.00
Positions (direct):
Pb 0.2500 0.2500 0.2500
Rh 0.5000 0.5000 0.5000
Pd 0.0000 0.0000 0.0000
Cd 0.7500 0.7500 0.7500



Which one is most stable, and which one is least stable? run w is the most stable of them, while run x is the least stable.



Run w
Pm2CdPb3: optimized geometry, PBE-GGA.

Calculated values
N(E_F), states/eV/cell: 3.3

Unit cell a=4.5832 b=4.7803 c=8.1563 alpha=90.00 beta=106.32 gamma=90.00
Positions (direct):
Pm 0.1506 0.5000 0.3013
Pm 0.8494 0.5000 0.6987
Cd 0.0000 0.0000 0.0000
Pb 0.3270 0.0000 0.6539
Pb 0.6730 0.0000 0.3461
Pb 0.5000 0.5000 0.0000



Run x
Pm2CdPb3: optimized geometry, PBE-GGA.

Calculated values
N(E_F), states/eV/cell: 4.5

Unit cell a=3.5823 b=5.8237 c=9.5859 alpha=107.68 beta=100.77 gamma=90.00
Positions (direct):
Pm 0.6550 0.6550 0.3100
Pm 0.3450 0.3450 0.6900
Cd 0.0000 0.0000 0.0000
Pb 0.0000 0.5000 0.0000
Pb 0.8339 0.8339 0.6678
Pb 0.1661 0.1661 0.3322



Which one is most stable, and which one is least stable? run w is the most stable of them, while run x is the least stable.



Run w
PmCdPb: optimized geometry, PBE-GGA.

Calculated values
N(E_F), states/eV/cell: 1.8

Unit cell a=6.2248 b=6.2245 c=6.7396 alpha=71.48 beta=71.51 gamma=46.81
Positions (direct):
Pm 0.7639 0.7211 0.3786
Pm 0.0764 0.0344 0.9322
Cd 0.3381 0.2960 0.0406
Cd 0.5022 0.4594 0.2702
Pb 0.0613 0.0182 0.4602
Pb 0.7789 0.7373 0.8506



Run x
PmCdPb: optimized geometry, PBE-GGA.

Calculated values
N(E_F), states/eV/cell: 4.0

Unit cell a=5.1084 b=3.7284 c=9.1993 alpha=101.69 beta=90.00 gamma=90.00
Positions (direct):
Pm 0.2500 0.8930 0.2860
Pm 0.7500 0.1070 0.7140
Cd 0.2500 0.5434 0.5868
Cd 0.7500 0.4566 0.4132
Pb 0.7500 0.2878 0.0756
Pb 0.2500 0.7122 0.9244



Run y
PmCdPb: optimized geometry, PBE-GGA.

Calculated values
N(E_F), states/eV/cell: 2.3

Unit cell a=5.0518 b=5.0518 c=5.0518 alpha=60.00 beta=60.00 gamma=60.00
Positions (direct):
Pb 0.5000 0.5000 0.5000
Cd 0.2500 0.2500 0.2500
Pm 0.0000 0.0000 0.0000



Run z
PmCdPb: optimized geometry, PBE-GGA.

Calculated values
N(E_F), states/eV/cell: 1.2

Unit cell a=3.9677 b=4.9477 c=4.9477 alpha=120.00 beta=90.00 gamma=90.00
Positions (direct):
Pb 0.0620 0.0000 0.0000
Cd 0.2752 0.3333 0.6667
Pm 0.6628 0.6667 0.3333



Which one is most stable, and which one is least stable? run z is the most stable of them, while run y is the least stable.



Run w
PmCdSnPb: optimized geometry, PBE-GGA.

Calculated values
N(E_F), states/eV/cell: 2.5

Unit cell a=5.4493 b=5.4493 c=5.4493 alpha=60.00 beta=60.00 gamma=60.00
Positions (direct):
Pb 0.0000 0.0000 0.0000
Cd 0.7500 0.7500 0.7500
Sn 0.2500 0.2500 0.2500
Pm 0.5000 0.5000 0.5000



Run x
PmCdSnPb: optimized geometry, PBE-GGA.

Calculated values
N(E_F), states/eV/cell: 1.4

Unit cell a=4.5569 b=4.8578 c=4.8350 alpha=90.00 beta=90.00 gamma=90.00
Positions (direct):
Pm 0.5000 0.5000 0.0000
Cd 0.5000 0.0000 0.5000
Sn 0.0000 0.5000 0.5000
Pb 0.0000 0.0000 0.0000



Which one is most stable, and which one is least stable? run x is the most stable of them, while run w is the least stable.



Run w
Pr3CdPb3: optimized geometry, PBE-GGA.

Calculated values
N(E_F), states/eV/cell: 8.0

Unit cell a=6.4510 b=9.5508 c=9.5508 alpha=120.00 beta=90.00 gamma=90.00
Positions (direct):
Pr 0.7500 0.6785 0.6258
Pr 0.7500 0.3742 0.0527
Pr 0.7500 0.9473 0.3215
Pr 0.2500 0.3215 0.3742
Pr 0.2500 0.6258 0.9473
Pr 0.2500 0.0527 0.6785
Cd 0.2500 0.6667 0.3333
Cd 0.7500 0.3333 0.6667
Pb 0.2500 0.7063 0.6620
Pb 0.2500 0.3380 0.0442
Pb 0.2500 0.9558 0.2937
Pb 0.7500 0.2937 0.3380
Pb 0.7500 0.6620 0.9558
Pb 0.7500 0.0442 0.7063



Run x
Pr3CdPb3: optimized geometry, PBE-GGA.

Calculated values
N(E_F), states/eV/cell: 11.4

Unit cell a=4.7650 b=6.5212 c=15.1953 alpha=82.44 beta=80.98 gamma=68.57
Positions (direct):
Pr 0.5173 0.3427 0.6227
Pr 0.4827 0.6573 0.3773
Pr 0.2711 0.2319 0.2259
Pr 0.7289 0.7681 0.7741
Pr 0.3995 0.2780 0.9229
Pr 0.6005 0.7220 0.0771
Cd 0.7754 0.0729 0.3763
Cd 0.2246 0.9271 0.6237
Pb 0.8597 0.7369 0.5436
Pb 0.1403 0.2631 0.4564
Pb 0.1272 0.8209 0.9248
Pb 0.8728 0.1791 0.0752
Pb 0.0003 0.7734 0.2260
Pb 0.9997 0.2266 0.7740



Which one is most stable, and which one is least stable? run x is the most stable of them, while run w is the least stable.